# GGA-PBE ScTl5, optimized geometry
data_ScTl5
_chemical_formula_sum 'Sc1 Tl5'
_cell_length_a 3.536
_cell_length_b 3.536
_cell_length_c 13.653
_cell_angle_alpha 90.00
_cell_angle_beta 90.00
_cell_angle_gamma 90.00
_space_group_name_H-M_alt 'P 1'
_space_group_IT_number 1
loop_
_space_group_symop_operation_xyz
'x,y,z'
loop_
_atom_site_label
_atom_site_fract_x
_atom_site_fract_y
_atom_site_fract_z
Sc1 0.500 0.500 0.833
Tl1 0.000 0.000 0.974
Tl2 0.500 0.500 0.146
Tl3 0.000 0.000 0.333
Tl4 0.500 0.500 0.521
Tl5 0.000 0.000 0.692
# Space-group type: P4/mmm
# Final energy (eV/cell): -18.335
# Energy of formation (eV per atom): -0.029
# E above lowest polymorph (eV/atom): 0.000